The following is a PBE calculation of a relaxed Dy2PaSe3 crystal, from the Alexandria database.

Results
Uncorrected energy in eV/atom: -6.402
N(E_F) in states/eV per cell: 11.9
Symmetry: P6_3/mmc (194)
Formation energy from raw total energies in meV/atom: -1542.8

a = 3.9542 Å, b = 3.9542 Å, c = 21.1928 Å
α = 90.00°, β = 90.00°, γ = 120.00°
Last column: magnetic moment on the atom in μB.
Fractional coordinates of all 12 atoms:
Se  0.6667  0.3333  0.6632  -0.01
Se  0.0000  0.0000  0.0000  0.00
Se  0.3333  0.6667  0.3368  -0.01
Se  0.3333  0.6667  0.1632  -0.01
Se  0.0000  0.0000  0.5000  0.00
Se  0.6667  0.3333  0.8368  -0.01
Dy  0.3333  0.6667  0.5853  -0.01
Dy  0.6667  0.3333  0.0853  -0.01
Dy  0.3333  0.6667  0.9147  -0.01
Dy  0.6667  0.3333  0.4147  -0.01
Pa  0.0000  0.0000  0.7500  0.47
Pa  0.0000  0.0000  0.2500  0.47

***

The following is a PBE calculation of a relaxed DyZrCd crystal, from the Alexandria database.

Results
Energy above the lowest structure with this stoichiometry in eV/atom: 0.037
Uncorrected energy in eV/atom: -4.777
N(E_F) in states/eV per cell: 6.4
Symmetry: P4/nmm (129)

a = 3.3323 Å, b = 3.3322 Å, c = 13.5122 Å
α = 90.00°, β = 90.00°, γ = 89.99°
Fractional coordinates of all 6 atoms:
Dy  0.8724  0.2910  0.5007
Dy  0.3723  0.7914  0.0116
Cd  0.3726  0.7907  0.3297
Cd  0.8727  0.2907  0.1826
Zr  0.3723  0.7913  0.6766
Zr  0.8722  0.2915  0.8357

***

The following is a PBE calculation of a relaxed Ba2InBi2 crystal, from the Alexandria database.

Results
Energy above the lowest structure with this stoichiometry in eV/atom: 0.017
Uncorrected energy in eV/atom: -3.540
N(E_F) in states/eV per cell: 5.0
Symmetry: P4/mbm (127)

a = 8.8047 Å, b = 8.8047 Å, c = 5.1213 Å
α = 90.00°, β = 90.00°, γ = 90.00°
Fractional coordinates of all 10 atoms:
Ba  0.3231  0.1769  0.5000
Ba  0.6769  0.8231  0.5000
Ba  0.8231  0.3231  0.5000
Ba  0.1769  0.6769  0.5000
Bi  0.6238  0.1238  0.0000
Bi  0.1238  0.3762  0.0000
Bi  0.3762  0.8762  0.0000
Bi  0.8762  0.6238  0.0000
In  0.0000  0.0000  0.0000
In  0.5000  0.5000  0.0000